Record 1
## Cu2TcNiN (GGA-PBEsol)

Data for a geometry-optimized Cu2TcNiN structure.

Results
Its calculated volume is 77 Å³/cell. The total DFT energy (no corrections) comes out at -5.644 eV per atom. Its crystal system is tetragonal.

Structure (CIF):
```
data_Cu2TcNiN
_space_group_name_H-M_alt 'P 4/m m m'
_space_group_IT_number 123
_space_group_name_Hall '-P 4 2'
_cell_length_a 4.614
_cell_length_b 4.614
_cell_length_c 3.636
_cell_angle_alpha 90.00
_cell_angle_beta 90.00
_cell_angle_gamma 90.00
loop_
_atom_site_label
_atom_site_type_symbol
_atom_site_fract_x
_atom_site_fract_y
_atom_site_fract_z
Cu1 Cu 0.000 0.500 0.000
Tc1 Tc 0.000 0.000 0.000
Ni1 Ni 0.500 0.500 0.500
N1 N 0.000 0.000 0.500
```


Record 2
## MnTe2W (GGA-PBEsol)

Data for a geometry-optimized MnTe2W structure.

Results
The calculation puts the excess energy over the best structure of this formula in the dataset at 304 meV per atom. Its calculated volume is 299 Å³/cell. The total DFT energy (no corrections) comes out at -7.110 eV per atom. Its crystal system is cubic.

Structure (CIF):
```
data_MnTe2W
_space_group_name_H-M_alt 'F m -3 m'
_space_group_IT_number 225
_space_group_name_Hall '-F 4 2 3'
_cell_length_a 6.688
_cell_length_b 6.688
_cell_length_c 6.688
_cell_angle_alpha 90.00
_cell_angle_beta 90.00
_cell_angle_gamma 90.00
loop_
_atom_site_label
_atom_site_type_symbol
_atom_site_fract_x
_atom_site_fract_y
_atom_site_fract_z
Mn1 Mn 0.000 0.000 0.000
Te1 Te 0.250 0.250 0.250
W1 W 0.000 0.000 0.500
```


Record 3
## ZrTeP2 (GGA-PBEsol)

Data for a geometry-optimized ZrTeP2 structure.

Results
The calculation puts the excess energy over the best structure of this formula in the dataset at 2 meV per atom. Its calculated volume is 146 Å³/cell. The total DFT energy (no corrections) comes out at -6.227 eV per atom. Its crystal system is orthorhombic.

Structure (CIF):
```
data_ZrTeP2
_space_group_name_H-M_alt 'C m m m'
_space_group_IT_number 65
_space_group_name_Hall '-C 2 2'
_cell_length_a 5.967
_cell_length_b 7.143
_cell_length_c 3.416
_cell_angle_alpha 90.00
_cell_angle_beta 90.00
_cell_angle_gamma 90.00
loop_
_atom_site_label
_atom_site_type_symbol
_atom_site_fract_x
_atom_site_fract_y
_atom_site_fract_z
Zr1 Zr 0.000 0.000 0.000
Te1 Te 0.000 0.500 0.000
P1 P 0.250 0.250 0.500
```


Record 4
## CdAs4Au (GGA-PBEsol)

Data for a geometry-optimized CdAs4Au structure.

Results
Its calculated volume is 476 Å³/cell. Its formation energy from the elements is 0.45 eV per atom. The total DFT energy (no corrections) comes out at -3.803 eV per atom. Its crystal system is cubic.

Structure (CIF):
```
data_CdAs4Au
_space_group_name_H-M_alt 'F -4 3 m'
_space_group_IT_number 216
_space_group_name_Hall 'F -4 2 3'
_cell_length_a 7.807
_cell_length_b 7.807
_cell_length_c 7.807
_cell_angle_alpha 90.00
_cell_angle_beta 90.00
_cell_angle_gamma 90.00
loop_
_atom_site_label
_atom_site_type_symbol
_atom_site_fract_x
_atom_site_fract_y
_atom_site_fract_z
Cd1 Cd 0.000 0.000 0.000
As1 As 0.123 0.123 0.623
Au1 Au 0.250 0.250 0.250
```


Record 5
## AlBrCl2 (GGA-PBEsol)

Data for a geometry-optimized AlBrCl2 structure.

Results
The calculation puts the excess energy over the best structure of this formula in the dataset at 1023 meV per atom. Its calculated volume is 82 Å³/cell. The total DFT energy (no corrections) comes out at -2.750 eV per atom. Its crystal system is tetragonal.

Structure (CIF):
```
data_AlBrCl2
_space_group_name_H-M_alt 'P 4 m m'
_space_group_IT_number 99
_cell_length_a 3.220
_cell_length_b 3.220
_cell_length_c 7.904
_cell_angle_alpha 90.00
_cell_angle_beta 90.00
_cell_angle_gamma 90.00
loop_
_space_group_symop_operation_xyz
'x,y,z'
'-y,x,z'
'-x,-y,z'
'y,-x,z'
'-x,y,z'
'y,x,z'
'x,-y,z'
'-y,-x,z'
loop_
_atom_site_label
_atom_site_type_symbol
_atom_site_fract_x
_atom_site_fract_y
_atom_site_fract_z
Al1 Al 0.000 0.000 0.000
Br1 Br 0.500 0.500 0.200
Cl1 Cl 0.000 0.000 0.506
Cl2 Cl 0.500 0.500 0.816
```


Record 6
## InPtBr2 (GGA-PBEsol)

Data for a geometry-optimized InPtBr2 structure.

Results
The calculation puts the excess energy over the best structure of this formula in the dataset at 70 meV per atom. Its calculated volume is 204 Å³/cell. The total DFT energy (no corrections) comes out at -3.373 eV per atom. Its crystal system is orthorhombic.

Structure (CIF):
```
data_InPtBr2
_space_group_name_H-M_alt 'C m m m'
_space_group_IT_number 65
_space_group_name_Hall '-C 2 2'
_cell_length_a 3.581
_cell_length_b 6.415
_cell_length_c 8.884
_cell_angle_alpha 90.00
_cell_angle_beta 90.00
_cell_angle_gamma 90.00
loop_
_atom_site_label
_atom_site_type_symbol
_atom_site_fract_x
_atom_site_fract_y
_atom_site_fract_z
In1 In 0.000 0.000 0.000
Pt1 Pt 0.000 0.000 0.500
Br1 Br 0.000 0.500 0.309
```


Record 7
## NaMnGa3 (GGA-PBEsol)

Data for a geometry-optimized NaMnGa3 structure.

Results
Its calculated volume is 97 Å³/cell. Its formation energy from the elements is -0.04 eV per atom. The total DFT energy (no corrections) comes out at -4.275 eV per atom. Its crystal system is cubic.

Structure (CIF):
```
data_NaMnGa3
_space_group_name_H-M_alt 'P m -3 m'
_space_group_IT_number 221
_space_group_name_Hall '-P 4 2 3'
_cell_length_a 4.590
_cell_length_b 4.590
_cell_length_c 4.590
_cell_angle_alpha 90.00
_cell_angle_beta 90.00
_cell_angle_gamma 90.00
loop_
_atom_site_label
_atom_site_type_symbol
_atom_site_fract_x
_atom_site_fract_y
_atom_site_fract_z
Na1 Na 0.000 0.000 0.000
Mn1 Mn 0.500 0.500 0.500
Ga1 Ga 0.000 0.500 0.500
```


Record 8
## BaDy2ZnO5 (GGA-PBEsol)

Data for a geometry-optimized BaDy2ZnO5 structure.

Results
Its calculated volume is 490 Å³/cell. The total DFT energy (no corrections) comes out at -7.380 eV per atom. Its crystal system is orthorhombic.

Structure (CIF):
```
data_BaDy2ZnO5
_space_group_name_H-M_alt 'P n m a'
_space_group_IT_number 62
_cell_length_a 12.267
_cell_length_b 5.679
_cell_length_c 7.028
_cell_angle_alpha 90.00
_cell_angle_beta 90.00
_cell_angle_gamma 90.00
loop_
_space_group_symop_operation_xyz
'x,y,z'
'-x,-y,-z'
'-x+1/2,-y,z+1/2'
'x+1/2,y,-z+1/2'
'x+1/2,-y+1/2,-z+1/2'
'-x+1/2,y+1/2,z+1/2'
'-x,y+1/2,-z'
'x,-y+1/2,z'
loop_
_atom_site_label
_atom_site_type_symbol
_atom_site_fract_x
_atom_site_fract_y
_atom_site_fract_z
Ba1 Ba 0.101 0.250 0.077
Dy1 Dy 0.075 0.750 0.401
Dy2 Dy 0.208 0.250 0.620
Zn1 Zn 0.151 0.750 0.809
O1 O 0.065 0.502 0.665
O2 O 0.101 0.750 0.076
O3 O 0.225 0.001 0.359
```


Record 9
## MnS2 (GGA-PBEsol)

Data for a geometry-optimized MnS2 structure.

Results
Its calculated volume is 80 Å³/cell. The total DFT energy (no corrections) comes out at -6.834 eV per atom. Its crystal system is orthorhombic.

Structure (CIF):
```
data_MnS2
_space_group_name_H-M_alt 'P n n m'
_space_group_IT_number 58
_cell_length_a 4.629
_cell_length_b 5.472
_cell_length_c 3.169
_cell_angle_alpha 90.00
_cell_angle_beta 90.00
_cell_angle_gamma 90.00
loop_
_space_group_symop_operation_xyz
'x,y,z'
'-x,-y,-z'
'-x,-y,z'
'x,y,-z'
'x+1/2,-y+1/2,-z+1/2'
'-x+1/2,y+1/2,z+1/2'
'-x+1/2,y+1/2,-z+1/2'
'x+1/2,-y+1/2,z+1/2'
loop_
_atom_site_label
_atom_site_type_symbol
_atom_site_fract_x
_atom_site_fract_y
_atom_site_fract_z
Mn1 Mn 0.000 0.000 0.000
S1 S 0.195 0.367 0.000
```


Record 10
## Tc2SbAs (GGA-PBEsol)

Data for a geometry-optimized Tc2SbAs structure.

Results
The calculation puts the excess energy over the best structure of this formula in the dataset at 0 meV per atom. Its calculated volume is 70 Å³/cell. The total DFT energy (no corrections) comes out at -8.060 eV per atom. Its crystal system is tetragonal.

Structure (CIF):
```
data_Tc2SbAs
_space_group_name_H-M_alt 'P 4 m m'
_space_group_IT_number 99
_cell_length_a 2.976
_cell_length_b 2.976
_cell_length_c 7.888
_cell_angle_alpha 90.00
_cell_angle_beta 90.00
_cell_angle_gamma 90.00
loop_
_space_group_symop_operation_xyz
'x,y,z'
'-y,x,z'
'-x,-y,z'
'y,-x,z'
'-x,y,z'
'y,x,z'
'x,-y,z'
'-y,-x,z'
loop_
_atom_site_label
_atom_site_type_symbol
_atom_site_fract_x
_atom_site_fract_y
_atom_site_fract_z
Tc1 Tc 0.000 0.000 0.000
Tc2 Tc 0.500 0.500 0.209
Sb1 Sb 0.500 0.500 0.763
As1 As 0.000 0.000 0.400
```


Record 11
## SrReMo2 (GGA-PBEsol)

Data for a geometry-optimized SrReMo2 structure.

Results
The calculation puts the excess energy over the best structure of this formula in the dataset at 34 meV per atom. Its calculated volume is 168 Å³/cell. Its formation energy from the elements is 0.79 eV per atom. The total DFT energy (no corrections) comes out at -8.888 eV per atom. Its crystal system is monoclinic.

Structure (CIF):
```
data_SrReMo2
_space_group_name_H-M_alt 'C 1 2/m 1'
_space_group_IT_number 12
_cell_length_a 9.718
_cell_length_b 3.152
_cell_length_c 5.667
_cell_angle_alpha 90.00
_cell_angle_beta 104.56
_cell_angle_gamma 90.00
loop_
_space_group_symop_operation_xyz
'x,y,z'
'-x,-y,-z'
'-x,y,-z'
'x,-y,z'
'x+1/2,y+1/2,z'
'-x+1/2,-y+1/2,-z'
'-x+1/2,y+1/2,-z'
'x+1/2,-y+1/2,z'
loop_
_atom_site_label
_atom_site_type_symbol
_atom_site_fract_x
_atom_site_fract_y
_atom_site_fract_z
Sr1 Sr 0.000 0.000 0.000
Re1 Re 0.000 0.500 0.500
Mo1 Mo 0.211 0.000 0.640
```


Record 12
## Tl3Cd2 (GGA-PBEsol)

Data for a geometry-optimized Tl3Cd2 structure.

Results
The calculation puts the excess energy over the best structure of this formula in the dataset at 41 meV per atom. Its calculated volume is 139 Å³/cell. Its formation energy from the elements is 0.10 eV per atom. The total DFT energy (no corrections) comes out at -1.954 eV per atom. Its crystal system is trigonal.

Structure (CIF):
```
data_Tl3Cd2
_space_group_name_H-M_alt 'P -3 m 1'
_space_group_IT_number 164
_space_group_name_Hall '-P 3 2"'
_cell_length_a 4.8275
_cell_length_b 4.8275
_cell_length_c 6.8801
_cell_angle_alpha 90.00
_cell_angle_beta 90.00
_cell_angle_gamma 120.00
loop_
_atom_site_label
_atom_site_type_symbol
_atom_site_fract_x
_atom_site_fract_y
_atom_site_fract_z
Tl1 Tl 0.0000 0.0000 0.0000
Tl2 Tl 0.3333 0.6667 0.3610
Cd1 Cd 0.3333 0.6667 0.8312
```


Question: Look up the calculated volume of the ninth one.
Answer: 80 Å³/cell


Question: calculated volume of number 5 (AlBrCl2)?
Answer: 82 Å³/cell


Question: The lowest calculated volume belongs to which entry?
Answer: Tc2SbAs